No. 1
Below is a geometry-optimized TaCo3Rh structure, with properties calculated at the PBE-GGA level.

Structure (extended XYZ):
```
5
Lattice="-3.6341 1.2983 -2.0958 -1.8069 -3.9424 0.6910 -1.6772 1.4342 3.7967" Properties=species:S:1:pos:R:3 pbc="T T T"
Rh -3.5591 -0.6049 1.1959
Co -0.8386 0.7171 1.8983
Co -0.9035 -1.9712 0.3455
Co -1.8170 0.6492 -1.0479
Ta 0.0000 0.0000 0.0000
```

Summary:
Crystal system: cubic
Magnetization (Bohr magnetons per cell): 2.7
Offset from the most stable computed form (eV/atom): 0.0587
Energy (eV per atom): -6.5904
Symmetry: Pm-3m


No. 2
Below is a geometry-optimized TaCoRh3 structure, with properties calculated at the PBE-GGA level.

Structure (extended XYZ):
```
5
Lattice="4.6892 0.0000 0.0000 0.0000 4.6892 0.0000 0.0000 0.0000 4.6892" Properties=species:S:1:pos:R:3 pbc="T T T"
Rh 2.3446 0.0000 0.0000
Rh 0.0000 0.0000 2.3446
Ta 0.0000 0.0000 0.0000
Co 2.3446 2.3446 2.3446
Rh 0.0000 2.3446 0.0000
```

Summary:
Crystal system: cubic
Magnetization (Bohr magnetons per cell): 2.6
Offset from the most stable computed form (eV/atom): 0.3197
Energy (eV per atom): -6.9831
Symmetry: Pm-3m


No. 3
Below is a geometry-optimized Ta2Co4Rh structure, with properties calculated at the PBE-GGA level.

Structure (extended XYZ):
```
7
Lattice="-2.4733 -1.2773 1.8099 -1.0304 -1.7381 -2.6347 6.8100 -5.0036 2.7296" Properties=species:S:1:pos:R:3 pbc="T T T"
Ta -0.7717 -2.7693 0.0366
Co 1.7971 -6.0761 1.2133
Co 1.5093 -1.9428 0.6914
Rh 0.0000 0.0000 0.0000
Co 1.2924 -3.8943 2.0635
Ta 4.0781 -5.2496 1.8682
Co 2.0139 -4.1247 -0.1588
```

Summary:
Crystal system: tetragonal
Magnetization (Bohr magnetons per cell): 3.1
Energy (eV per atom): -8.5843
Symmetry: I4/mmm


No. 4
Below is a geometry-optimized TaCoRh structure, with properties calculated at the PBE-GGA level.

Structure (extended XYZ):
```
3
Lattice="-4.0699 0.6298 1.1496 0.9167 -2.5413 -3.3141 0.1442 -2.1489 1.6877" Properties=species:S:1:pos:R:3 pbc="T T T"
Rh -2.3569 -1.1838 0.2558
Ta -0.6402 -3.0540 -0.5934
Co 0.1323 -1.9715 1.5484
```

Summary:
Crystal system: trigonal
Magnetization (Bohr magnetons per cell): 1.0
Offset from the most stable computed form (eV/atom): 0.2379
Energy (eV per atom): -8.9193
Symmetry: P3m1


No. 5
Below is a geometry-optimized Ta4CoRh structure, with properties calculated at the PBE-GGA level.

Structure (extended XYZ):
```
6
Lattice="0.0000 3.7428 3.7428 3.7428 0.0000 3.7428 3.7428 3.7428 0.0000" Properties=species:S:1:pos:R:3 pbc="T T T"
Ta 4.6771 4.6771 4.6771
Rh 0.0000 0.0000 0.0000
Ta 4.6771 2.8084 2.8084
Ta 2.8084 4.6771 2.8084
Co 1.8714 1.8714 1.8714
Ta 2.8084 2.8084 4.6771
```

Summary:
Crystal system: cubic
Magnetization (Bohr magnetons per cell): 0.2
Offset from the most stable computed form (eV/atom): 0.7505
Energy (eV per atom): -9.8316
Symmetry: F-43m


No. 6
Below is a geometry-optimized Ta4CoRh5 structure, with properties calculated at the PBE-GGA level.

Structure (extended XYZ):
```
10
Lattice="-2.5879 -1.9249 3.5043 -4.5451 -1.8418 -2.5318 4.3781 -4.3375 -1.4444" Properties=species:S:1:pos:R:3 pbc="T T T"
Rh -1.1780 -1.8311 -0.9245
Ta -3.5213 -2.7060 -2.0400
Rh -3.5665 -1.8834 0.4862
Co -1.2939 -0.9625 1.7522
Ta 0.7665 -5.3982 1.5681
Rh 1.0350 -3.4946 -0.3542
Rh -3.7898 -4.6097 -0.1178
Ta -1.5339 -3.4915 1.1015
Ta -1.2209 -4.6128 -1.5734
Rh -1.5768 -6.2731 0.4525
```

Summary:
Crystal system: triclinic
Magnetization (Bohr magnetons per cell): 0.0
Energy (eV per atom): -9.5775
Symmetry: P-1


No. 7
Below is a geometry-optimized TaCo2Rh2 structure, with properties calculated at the PBE-GGA level.

Structure (extended XYZ):
```
10
Lattice="7.0751 0.0000 0.0000 0.0000 7.0751 0.0000 0.0000 0.0000 2.7858" Properties=species:S:1:pos:R:3 pbc="T T T"
Co 1.1850 4.7226 1.3929
Co 2.3525 1.1850 1.3929
Rh 0.9273 2.6103 0.0000
Rh 6.1478 4.4648 0.0000
Ta 0.0000 0.0000 0.0000
Co 5.8900 2.3525 1.3929
Ta 3.5375 3.5375 0.0000
Rh 4.4648 0.9273 0.0000
Rh 2.6103 6.1478 0.0000
Co 4.7226 5.8900 1.3929
```

Summary:
Crystal system: tetragonal
Magnetization (Bohr magnetons per cell): 6.9
Offset from the most stable computed form (eV/atom): 0.0711
Energy (eV per atom): -8.1341
Symmetry: P4/mbm


No. 8
Below is a geometry-optimized TaCoRh structure, with properties calculated at the PBE-GGA level.

Structure (extended XYZ):
```
3
Lattice="4.1804 0.0000 0.0000 2.0902 3.6203 0.0000 2.0902 1.2068 3.4133" Properties=species:S:1:pos:R:3 pbc="T T T"
Co 4.1804 2.4135 1.7066
Ta 0.0000 0.0000 0.0000
Rh 6.2706 3.6203 2.5599
```

Summary:
Crystal system: cubic
Magnetization (Bohr magnetons per cell): 1.4
Offset from the most stable computed form (eV/atom): 0.7113
Energy (eV per atom): -8.4459
Symmetry: F-43m